# 1
The following is a GGA-PBE calculation of a relaxed structure of Nd3SmPu2Se6, from Alexandria via LeMat-Bulk.

The structure in extended XYZ format:
```
12
Lattice="3.620 -6.274 0.000 3.620 6.274 0.000 -2.413 0.000 6.879" Properties=species:S:1:pos:R:3 pbc="T T T"
Nd 0.000 0.000 0.000
Nd 3.620 2.081 0.000
Nd 3.620 -2.081 0.000
Sm 2.414 0.000 3.440
Pu 2.414 4.183 3.440
Pu 2.414 -4.183 3.440
Se 1.198 2.107 1.767
Se -0.018 0.000 5.113
Se 1.198 -2.107 1.767
Se 3.630 2.107 5.113
Se 4.845 0.000 1.766
Se 3.630 -2.107 5.113
```

Results
- density of states at the Fermi level (states/eV/cell) = 19.86
- raw total energy (eV/cell) = -89.60
- energy relative to the elements, uncorrected (eV per formula unit) = -21.0
- V (Å³/f.u.) = 312.5

---

# 2
The following is a GGA-PBE calculation of a relaxed structure of Mg4Si3, from Alexandria via LeMat-Bulk.

The structure in extended XYZ format:
```
14
Lattice="4.613 0.000 0.000 -0.098 7.737 0.000 -0.293 -0.073 8.096" Properties=species:S:1:pos:R:3 pbc="T T T"
Mg -0.129 3.750 2.488
Mg -0.225 6.134 7.671
Mg 1.515 6.660 5.142
Mg 1.851 1.883 6.475
Mg 2.370 5.781 1.622
Mg 2.706 1.004 2.954
Mg 4.446 1.530 0.425
Mg 4.350 3.914 5.608
Si 0.195 7.210 2.185
Si 0.463 1.700 4.173
Si 2.094 3.069 0.943
Si 2.127 4.595 7.153
Si 3.758 5.964 3.923
Si 4.026 0.454 5.911
```

Results
- E above lowest polymorph (eV/atom) = 0.0552
- density of states at the Fermi level (states/eV/cell) = 1.49
- raw total energy (eV/cell) = -44.97
- energy relative to the elements, uncorrected (eV per formula unit) = 0.2
- V (Å³/f.u.) = 144.5